1.
Here is crystalline Dy7Ho2 at its relaxed geometry from Alexandria via LeMat-Bulk. Energies are from PBE.

The calculation puts the formation energy at 0.0407 eV/atom.

The space group is P-62m (No. 189) and the conventional cell measures 9.6228, 9.6228 and 3.5148 Å, with angles of 90.00, 90.00 and 120.00 degrees. The asymmetric unit holds Dy at (0.0000, 0.0000, 0.0000), Dy at (0.0000, 0.3617, 0.0000), Dy at (0.0000, 0.6963, 0.5000) and Ho at (0.3333, 0.6667, 0.5000).

=====

2.
Here is crystalline Tb2Nd3Sm6Tl at its relaxed geometry from Alexandria via LeMat-Bulk. Energies are from PBE.

The calculation puts the formation energy at -0.0131 eV/atom.

The space group is C2/m (No. 12) and the conventional cell measures 6.233, 10.828 and 11.861 Å, with angles of 90.00, 100.29 and 90.00 degrees. The asymmetric unit holds Tb at (0.000, 0.166, 0.000), Nd at (0.000, 0.000, 0.500), Nd at (0.000, 0.331, 0.500), Sm at (0.244, 0.337, 0.244), Sm at (0.246, 0.500, 0.754) and Tl at (0.000, 0.500, 0.000).

=====

3.
Here is crystalline ZrIn2Ir at its relaxed geometry from Alexandria via LeMat-Bulk. Energies are from PBE.

The calculation puts the formation energy at -0.0697 eV/atom.

The space group is Fm-3m (No. 225) and the conventional cell measures 6.779, 6.779 and 6.779 Å, with angles of 90.00, 90.00 and 90.00 degrees. The asymmetric unit holds Zr at (0.000, 0.000, 0.000), In at (0.250, 0.250, 0.250) and Ir at (0.000, 0.000, 0.500).

=====

4.
Here is crystalline Rb3Np3NbS8 at its relaxed geometry from Alexandria via LeMat-Bulk. Energies are from PBE.

The formation energy without anion corrections is -1.30 eV per atom.

The space group is R-3m (No. 166, hexagonal axes) and the conventional cell measures 7.8892, 7.8892 and 23.6256 Å, with angles of 90.00, 90.00 and 120.00 degrees. The asymmetric unit holds Rb at (0.0000, 0.5000, 0.0000), Np at (0.0000, 0.5000, 0.5000), Nb at (0.0000, 0.0000, 0.5000), S at (0.0000, 0.0000, 0.2313) and S at (0.0170, 0.5085, 0.2276).

=====

5.
Here is crystalline NaBi2H at its relaxed geometry from Alexandria via LeMat-Bulk. Energies are from PBE.

The value obtained for the total energy is -42.70 eV per cell.

The space group is Fm-3m (No. 225) and the conventional cell measures 7.182, 7.182 and 7.182 Å, with angles of 90.00, 90.00 and 90.00 degrees. The asymmetric unit holds Na at (0.000, 0.000, 0.000), Bi at (0.250, 0.250, 0.250) and H at (0.000, 0.000, 0.500).

=====

6.
Here is crystalline PmMgZn4 at its relaxed geometry from Alexandria via LeMat-Bulk. Energies are from PBE.

The calculation puts the formation energy at -0.2145 eV/atom.

The space group is F-43m (No. 216) and the conventional cell measures 7.657, 7.657 and 7.657 Å, with angles of 90.00, 90.00 and 90.00 degrees. The asymmetric unit holds Pm at (0.000, 0.000, 0.000), Mg at (0.250, 0.250, 0.250) and Zn at (0.126, 0.126, 0.626).

=====

7.
Here is crystalline LiSmBr3 at its relaxed geometry from Alexandria via LeMat-Bulk. Energies are from PBE.

The formation energy without anion corrections is -1.53 eV per atom.

The space group is P-1 (No. 2) and the conventional cell measures 6.609, 7.027 and 7.916 Å, with angles of 65.13, 69.13 and 63.45 degrees. The asymmetric unit holds Li at (0.117, 0.183, 0.055), Sm at (0.320, 0.368, 0.488), Br at (0.065, 0.782, 0.225), Br at (0.256, 0.543, 0.790) and Br at (0.403, 0.072, 0.271).

=====

8.
Here is crystalline Sr2SmPd at its relaxed geometry from Alexandria via LeMat-Bulk. Energies are from PBE.

The calculation puts the formation energy at 0.0066 eV/atom.

The space group is R-3m (No. 166, hexagonal axes) and the conventional cell measures 3.9437, 3.9437 and 33.9667 Å, with angles of 90.00, 90.00 and 120.00 degrees. The asymmetric unit holds Sr at (0.0000, 0.0000, 0.1098), Sm at (0.0000, 0.0000, 0.0000) and Pd at (0.0000, 0.0000, 0.5000).

=====

9.
Here is crystalline NpTlI2O8 at its relaxed geometry from Alexandria via LeMat-Bulk. Energies are from PBE.

The formation energy without anion corrections is -1.01 eV per atom.

The space group is P-3m1 (No. 164) and the conventional cell measures 6.4856, 6.4856 and 7.6455 Å, with angles of 90.00, 90.00 and 120.00 degrees. The asymmetric unit holds Np at (0.0000, 0.0000, 0.0000), Tl at (0.0000, 0.0000, 0.5000), I at (0.3333, 0.6667, 0.8221), O at (0.1535, 0.3069, 0.8354) and O at (0.3333, 0.6667, 0.5892).

=====

10.
Here is crystalline CsH4NCl2 at its relaxed geometry from Alexandria via LeMat-Bulk. Energies are from PBE.

The value obtained for the total energy is -135.17 eV per cell.

The space group is I4_1/amd (No. 141, origin choice 2) and the conventional cell measures 6.737, 6.737 and 13.994 Å, with angles of 90.00, 90.00 and 90.00 degrees. The asymmetric unit holds Cs at (0.000, 0.250, 0.375), H at (0.000, 0.124, 0.917), N at (0.000, 0.250, 0.875) and Cl at (0.000, 0.250, 0.109).

=====

11.
Here is crystalline TmAsPd3 at its relaxed geometry from Alexandria via LeMat-Bulk. Energies are from PBE.

The calculation puts the formation energy at -0.4577 eV/atom.

The space group is I-4m2 (No. 119) and the conventional cell measures 5.141, 5.141 and 16.444 Å, with angles of 90.00, 90.00 and 90.00 degrees. The asymmetric unit holds Tm at (0.000, 0.000, 0.148), As at (0.000, 0.000, 0.500), As at (0.000, 0.500, 0.750), Pd at (0.000, 0.246, 0.625) and Pd at (0.000, 0.500, 0.050).

=====

12.
Here is crystalline MgInSi2 at its relaxed geometry from Alexandria via LeMat-Bulk. Energies are from PBE.

The formation energy without anion corrections is 0.19 eV per atom.

The space group is Cm (No. 8) and the conventional cell measures 8.710, 3.677 and 6.207 Å, with angles of 90.00, 117.12 and 90.00 degrees. The asymmetric unit holds Mg at (0.000, 0.000, 0.000), In at (0.371, 0.500, 0.363), Si at (0.155, 0.500, 0.573) and Si at (0.239, 0.000, 0.854).

=====

no.,N(E_F) (states/eV per cell),total magnetization (μB per atom)
1,16.59,0.046
2,31.01,0.000
3,18.79,0.243
4,93.87,0.867
5,8.78,0.000
6,12.52,0.000
7,1.11,0.203
8,10.08,0.125
9,4.75,0.167
10,0.00,0.005
11,5.40,0.000
12,2.72,0.000